DFT (PBE) results for a relaxed structure of CoW5.

abc: 5.1694 8.8339 8.1888
angles: 90.00 90.00 90.00
Closest atoms and distances in Å follow each position.
Space group Cmcm (No. 63)
Unique sites:
Co 0.0000 0.1652 0.2500 x4  6 W 2.45-2.66
W 0.0000 0.0000 0.0000 x4  2 Co 2.51, 4 W 2.58
W 0.0000 0.3387 0.5666 x8  13 W 2.93-3.21, 3 Co 2.99-3.01
W 0.2433 0.4039 0.2500 x8  2 Co 2.45-2.66, 4 W 2.51-2.65

Properties
Raw total energy = -11.6681 eV/atom
Offset from the most stable computed form = 2 meV/atom
Density = 17.37 g cm⁻³
Formation energy = 0.32 eV/atom

***

DFT (PBE) results for a relaxed structure of Co7W5.

abc: 4.9535 4.9535 15.4431
angles: 90.00 90.00 120.00
Closest atoms and distances in Å follow each position.
Space group P6_3/mmc (No. 194)
Unique sites:
Co 0.0000 0.0000 0.0866 x4  10 Co 2.68-2.90, 3 W 2.89
Co 0.0000 0.5000 0.0000 x6  6 Co 2.30-2.48
Co 0.3333 0.6667 0.1169 x4  3 Co 2.30, 3 W 2.51
W 0.1650 0.3300 0.2500 x6  4 W 2.45-2.50, 2 Co 2.51
W 0.3333 0.6667 0.6464 x4  6 Co 2.68-2.90, 6 W 2.95

Properties
Raw total energy = -9.1507 eV/atom
Offset from the most stable computed form = 19 meV/atom
Density = 13.48 g cm⁻³
Formation energy = 0.39 eV/atom

***

DFT (PBE) results for a relaxed structure of CoW5.

abc: 5.1121 5.1121 16.5278
angles: 90.00 90.00 120.00
Closest atoms and distances in Å follow each position.
Space group P6_3/mmc (No. 194)
Unique sites:
Co 0.3333 0.6667 0.1260 x4  6 W 2.54-2.55
W 0.0000 0.0000 0.0940 x4  13 W 2.96-3.12, 3 Co 3.00
W 0.0000 0.5000 0.0000 x6  2 Co 2.55, 4 W 2.56
W 0.1640 0.3280 0.2500 x6  4 W 2.52-2.60, 2 Co 2.54
W 0.3333 0.6667 0.6554 x4  13 W 2.96-3.13, 3 Co 2.99

Properties
Raw total energy = -11.6610 eV/atom
Offset from the most stable computed form = 9 meV/atom
Density = 17.37 g cm⁻³
Formation energy = 0.32 eV/atom

***

DFT (PBE) results for a relaxed structure of CoW4.

abc: 9.5333 9.5333 5.1181
angles: 90.00 90.00 90.00
Closest atoms and distances in Å follow each position.
Space group P4_2/mnm (No. 136)
Unique sites:
Co 0.0000 0.0000 0.0000 x2  8 W 2.51-2.77
Co 0.0948 0.0948 0.5000 x4  3 Co 2.56-2.86, 2 W 2.63
W 0.0394 0.3649 0.5000 x8  1 Co 2.63, 5 W 2.68-2.79
W 0.0644 0.2557 0.0000 x8  1 Co 2.51, 9 W 2.58-2.80
W 0.1818 0.8182 0.2515 x8  6 W 2.54-2.80, 1 Co 2.77

Properties
Raw total energy = -11.4786 eV/atom
Density = 17.01 g cm⁻³
Formation energy = 0.31 eV/atom

***

DFT (PBE) results for a relaxed structure of Co2W3.

abc: 9.2630 9.2630 5.0426
angles: 90.00 90.00 90.00
Closest atoms and distances in Å follow each position.
Space group P4_2/mnm (No. 136)
Unique sites:
Co 0.0341 0.3666 0.0000 x8  4 W 2.50-2.67, 2 Co 2.53-2.55
Co 0.1027 0.1027 0.0000 x4  3 Co 2.53-2.69
W 0.0000 0.0000 0.5000 x2  8 W 2.59-2.80, 4 Co 2.86
W 0.0563 0.2741 0.5000 x8  4 Co 2.50-2.67, 5 W 2.59-2.73
W 0.1903 0.8097 0.2483 x8  7 W 2.50-2.80

Properties
Raw total energy = -10.2458 eV/atom
Offset from the most stable computed form = 168 meV/atom
Density = 15.41 g cm⁻³
Formation energy = 0.37 eV/atom

***

DFT (PBE) results for a relaxed structure of Co7W8.

abc: 9.1126 9.1126 5.0323
angles: 90.00 90.00 90.00
Closest atoms and distances in Å follow each position.
Space group P4_2/mnm (No. 136)
Unique sites:
Co 0.0000 0.0000 0.0000 x2  8 W 2.53-2.68, 4 Co 2.82
Co 0.0373 0.3661 0.5000 x8  4 W 2.49-2.67, 2 Co 2.50-2.53
Co 0.0990 0.0990 0.5000 x4  3 Co 2.50-2.55
W 0.0605 0.2706 0.0000 x8  5 Co 2.49-2.67, 5 W 2.68-2.71
W 0.1829 0.8171 0.2515 x8  6 W 2.50-2.68, 1 Co 2.68

Properties
Raw total energy = -9.9050 eV/atom
Offset from the most stable computed form = 173 meV/atom
Density = 14.97 g cm⁻³
Formation energy = 0.32 eV/atom

***

Q: Which of these has the lowest formation energy?
A: CoW4